No. 1
PBE BaMgBr4, optimized geometry; crystal system = tetragonal; spin magnetization = 0.000 μB/atom; space-group type = No. 141; raw formation energy = -10.864 eV per formula unit; energy above the most stable polymorph in this dataset = 0.2 kJ per mole of atoms
1.0
-5.195 5.195 4.471
5.195 -5.195 4.471
5.195 5.195 -4.471
Ba Mg Br
2 2 8
Cartesian
5.195 2.597 1.118
0.000 2.597 3.353
5.195 -2.597 3.353
0.000 7.792 1.118
5.195 -0.700 1.707
5.195 4.495 -1.707
1.898 2.597 0.528
3.297 -2.597 4.999
1.898 7.792 -0.528
3.297 2.597 3.943
0.000 0.700 6.178
0.000 5.895 2.763

No. 2
PBE BaMgBr2, optimized geometry; crystal system = cubic; spin magnetization = 0.000 μB/atom; space-group type = No. 225; raw formation energy = -4.922 eV per formula unit; energy above the most stable polymorph in this dataset = 3.6 kJ per mole of atoms
1.0
0.000 4.069 4.069
4.069 0.000 4.069
4.069 4.069 0.000
Ba Mg Br
1 1 2
Cartesian
0.000 0.000 0.000
4.069 4.069 4.069
2.034 2.034 2.034
6.103 6.103 6.103

No. 3
PBE BaMgMn2Br8, optimized geometry; crystal system = trigonal; spin magnetization = 0.833 μB/atom; space-group type = No. 147; raw formation energy = -14.880 eV per formula unit
1.0
6.866 0.000 0.000
-3.433 5.946 0.000
0.000 0.000 9.295
Ba Mg Mn Br
1 1 2 8
Cartesian
0.000 0.000 0.000
0.000 0.000 4.648
0.000 3.964 6.821
3.433 1.982 2.474
-2.311 4.166 2.983
0.981 1.861 2.983
2.102 0.082 6.312
0.000 3.964 9.289
3.433 1.982 0.007
1.330 5.864 2.983
2.452 4.084 6.312
5.744 1.780 6.312

No. 4
PBE BaMgMnBr2, optimized geometry; crystal system = tetragonal; spin magnetization = 1.000 μB/atom; space-group type = No. 123; raw formation energy = -0.919 eV per formula unit
1.0
6.195 0.000 0.000
0.000 6.195 0.000
0.000 0.000 7.365
Ba Mg Mn Br
1 1 1 2
Cartesian
0.000 0.000 0.000
3.098 3.098 3.683
0.000 0.000 3.683
0.000 3.098 0.000
3.098 0.000 0.000